# 1
The following is a DFT calculation (PBE-GGA) of a relaxed structure of K5Er2F12.

Output
**Final energy**: -97.76 eV for the cell shown
**Space-group type**: C2/m

Structure (POSCAR):
```
K5Er2F12
1.0
-3.2626 1.6656 5.5527
-6.1339 -4.4661 -1.4248
-0.0568 -7.1355 2.9467
K F Er
5 12 2
Cartesian
-1.6431 -2.7374 0.6126
-5.5220 -6.7553 3.5514
-3.9315 -3.1807 3.5232
-1.6313 0.8328 2.7764
-7.8103 -7.1985 6.4620
-5.2690 -6.5586 6.1208
-7.6249 -5.5237 4.4261
-3.2661 0.6331 4.9270
-2.6639 -7.4261 3.5324
-5.5504 -3.6899 5.4627
-6.1873 -10.5691 2.1476
-3.1190 -4.1222 6.1826
-4.1845 -3.3774 0.9538
-3.9031 -6.2460 1.6118
-6.7896 -2.5099 3.5422
-6.3344 -5.8138 0.8920
-1.8285 -4.4123 2.6485
-4.5864 -5.1458 -0.3116
-1.6043 -6.4557 1.8335
```

# 2
The following is a DFT calculation (PBE-GGA) of a relaxed structure of K2ErF4.

Output
**Final energy**: -35.98 eV for the cell shown
**Space-group type**: I4/mmm

Structure (POSCAR):
```
K2ErF4
1.0
4.3246 0.0000 0.0000
0.0000 4.3246 0.0000
2.1623 2.1623 9.6207
F K Er
4 2 1
Cartesian
0.0000 2.1623 0.0000
2.1623 2.1623 7.4932
2.1623 0.0000 0.0000
4.3246 4.3246 2.1275
4.3246 4.3246 6.5931
2.1623 2.1623 3.0276
0.0000 0.0000 0.0000
```

# 3
The following is a DFT calculation (PBE-GGA) of a relaxed structure of K3ErF6.

Output
**Final energy**: -105.54 eV for the cell shown
**Space-group type**: P2_1/c

Structure (POSCAR):
```
K3ErF6
1.0
-1.9749 -4.5792 4.3421
-3.6564 -2.6775 -4.4868
3.3657 -7.9616 -6.8656
F K Er
12 6 2
Cartesian
-2.6470 -4.4336 -5.2720
-0.5523 -5.0670 0.0475
-1.0071 -7.5589 -1.6067
0.3898 -12.2028 -4.4107
-1.7133 -10.1513 -7.0578
-2.6554 -3.0155 -2.5996
0.0814 -5.1107 -3.0008
0.3815 -10.7848 -1.7383
-3.9649 -5.9765 -0.7194
1.6993 -9.2419 -6.2909
-2.3469 -10.1077 -4.0095
-1.2585 -7.6594 -5.4036
-0.1454 -5.3196 -5.6762
-2.0593 -7.0128 1.2213
-2.6743 -6.0452 -3.0727
-2.8157 -3.6284 -0.0723
0.4087 -9.1732 -3.9376
-0.2063 -8.2056 -8.2316
0.6954 -6.2704 -1.2617
0.0000 0.0000 0.0000
```

# 4
The following is a DFT calculation (PBE-GGA) of a relaxed structure of K3ErF6.

Output
**Final energy**: -52.13 eV for the cell shown
**Space-group type**: Fm-3m

Structure (POSCAR):
```
K3ErF6
1.0
-0.4571 2.7040 6.0168
0.0610 -3.8563 5.3710
5.2470 0.0183 4.0238
K F Er
3 6 1
Cartesian
1.2127 -0.2835 3.8529
3.6382 -0.8505 11.5587
2.4254 -0.5670 7.7058
1.1488 -2.3429 6.4452
3.9489 -0.2510 5.7179
3.9818 -2.3331 8.6177
3.7020 1.2089 8.9664
0.8691 1.1990 6.7939
0.9020 -0.8830 9.6938
0.0000 0.0000 0.0000
```

# 5
The following is a DFT calculation (PBE-GGA) of a relaxed structure of KEr3F10.

Output
**Final energy**: -179.16 eV for the cell shown
**Space-group type**: Fm-3m

Structure (POSCAR):
```
KEr3F10
1.0
-3.8374 6.2577 -3.5780
-3.5557 -1.0152 -7.2810
-8.1441 -0.0094 -0.6010
Er F K
6 20 2
Cartesian
-5.7280 4.5066 -4.6129
-9.9554 4.5017 -4.9249
-5.5817 0.7314 -6.5351
-7.5737 3.9797 -8.3924
-9.8092 0.7265 -6.8471
-7.9635 1.2534 -3.0676
-7.8614 5.0140 -4.5094
-6.5965 2.9512 -3.3299
-9.0335 4.6793 -6.9095
-6.2561 2.2850 -7.9320
-10.4532 2.6134 -5.9281
-3.8584 4.0452 -3.2593
-1.7364 0.5848 -1.2807
-8.9407 2.2819 -8.1301
-5.0840 2.6197 -5.5319
-9.2811 2.9481 -3.5280
-11.6788 1.1879 -8.2008
-13.8008 4.6483 -10.1793
-3.7026 0.0235 -5.3070
-6.5036 0.5538 -4.5506
-7.6757 0.2191 -6.9507
-9.1882 0.5507 -4.7487
-6.3489 4.6825 -6.7114
-11.8346 5.2097 -6.1531
-6.2399 0.5796 -1.6131
-9.2973 4.6535 -9.8470
-3.8843 1.3083 -2.8650
-11.6529 3.9248 -8.5950
```

# 6
The following is a DFT calculation (PBE-GGA) of a relaxed structure of K2ErF5.

Output
**Final energy**: -177.10 eV for the cell shown
**Space-group type**: Pnma

Structure (POSCAR):
```
K2ErF5
1.0
6.6698 0.0000 0.0000
0.0000 7.2648 0.0000
0.0000 0.0000 10.9400
K F Er
8 20 4
Cartesian
3.1036 0.0206 1.8724
3.1036 3.6118 1.8724
0.2312 0.0206 7.3424
0.2312 3.6118 7.3424
6.4385 7.2442 3.5976
6.4385 3.6530 3.5976
3.5661 7.2442 9.0676
3.5661 3.6530 9.0676
0.9776 0.2603 10.1323
2.3573 3.3721 4.6624
0.7386 5.4486 5.3201
1.0587 5.4486 2.0660
0.8277 1.8162 1.8218
4.1626 5.4486 3.6482
4.3125 3.8927 6.2776
2.5071 1.8162 7.2918
4.0735 1.8162 0.1499
5.8420 5.4486 9.1182
5.6922 3.8927 0.8076
0.9776 3.3721 10.1323
2.2762 5.4486 7.5360
2.3573 0.2603 4.6624
5.6111 1.8162 8.8740
5.9311 1.8162 5.6199
4.3125 7.0045 6.2776
4.3936 1.8162 3.4040
2.5963 5.4486 10.7901
5.6922 7.0045 0.8076
2.9228 5.4486 5.4299
3.7469 1.8162 5.5101
0.4121 5.4486 10.8999
6.2577 1.8162 0.0401
```

# 7
The following is a DFT calculation (PBE-GGA) of a relaxed structure of K3ErF6.

Output
**Final energy**: -51.76 eV for the cell shown
**Space-group type**: I4/mmm

Structure (POSCAR):
```
K3ErF6
1.0
-3.5128 3.5128 4.5939
3.5128 -3.5128 4.5939
3.5128 3.5128 -4.5939
F K Er
6 3 1
Cartesian
0.0000 4.8755 0.0000
2.1501 0.0000 0.0000
4.8755 0.0000 0.0000
0.0000 0.0000 2.1752
0.0000 2.1501 0.0000
0.0000 0.0000 7.0126
3.5128 0.0000 2.2970
0.0000 3.5128 2.2970
0.0000 0.0000 4.5939
0.0000 0.0000 0.0000
```

# 8
The following is a DFT calculation (PBE-GGA) of a relaxed structure of K2Er2F7.

Output
**Final energy**: -62.76 eV for the cell shown
**Space-group type**: Cmmm

Structure (POSCAR):
```
K2Er2F7
1.0
5.5283 -0.0022 -0.0479
0.0033 6.5735 0.0025
-0.3922 -0.0025 5.5146
F K Er
7 2 2
Cartesian
2.3748 5.2939 5.4925
-0.1932 5.2963 2.7591
0.0000 0.0000 0.0000
2.5709 5.3135 2.7352
5.3326 1.2725 2.7101
2.7646 1.2749 -0.0232
2.5685 1.2553 2.7340
1.3436 3.2855 1.4296
3.7958 3.2833 4.0397
3.9262 6.5712 1.4630
1.2132 -0.0024 4.0063
```